# LiPm3Si6Ir2 GGA-PBE optimized geometry
# raw total energy = -71.037 eV per cell
# raw formation energy = -384.3 meV/atom
# mass density = 7.12 g/cm3
data_LiPm3Si6Ir2
_cell_length_a 5.3862
_cell_length_b 5.3862
_cell_length_c 9.2346
_cell_angle_alpha 90.00
_cell_angle_beta 90.00
_cell_angle_gamma 120.00
_space_group_name_H-M_alt 'P -3 m 1'
_space_group_IT_number 164
_space_group_name_Hall '-P 3 2"'
loop_
_atom_site_label
_atom_site_type_symbol
_atom_site_fract_x
_atom_site_fract_y
_atom_site_fract_z
Li1 Li 0.0000 0.0000 0.0000
Pm1 Pm 0.0000 0.0000 0.5000
Pm2 Pm 0.3333 0.6667 0.0811
Si1 Si 0.1644 0.3288 0.7765
Ir1 Ir 0.3333 0.6667 0.5829